#one
# Ti4InTe8, optimized geometry, DFT GGA-PBE
data_Ti4InTe8
_chemical_formula_sum 'Ti12 In3 Te24'
_cell_length_a 7.6050
_cell_length_b 7.6050
_cell_length_c 24.6606
_cell_angle_alpha 90.00
_cell_angle_beta 90.00
_cell_angle_gamma 120.00
_symmetry_space_group_name_H-M 'R -3 m'
_symmetry_Int_Tables_number 166
_symmetry_space_group_name_Hall '-R 3 2"'
loop_
_atom_site_label
_atom_site_type_symbol
_atom_site_fract_x
_atom_site_fract_y
_atom_site_fract_z
Ti1 Ti 0.0000 0.0000 0.0000
Ti2 Ti 0.0000 0.5000 0.0000
In1 In 0.0000 0.0000 0.5000
Te1 Te 0.0000 0.0000 0.2637
Te2 Te 0.0014 0.5007 0.7363
# N(E_F) = 0.492 states/eV per atom



#two
# Ti4InTe8, optimized geometry, DFT GGA-PBE
data_Ti4InTe8
_chemical_formula_sum 'Ti16 In4 Te32'
_cell_length_a 11.476
_cell_length_b 11.476
_cell_length_c 11.476
_cell_angle_alpha 90.00
_cell_angle_beta 90.00
_cell_angle_gamma 90.00
_symmetry_space_group_name_H-M 'F -4 3 m'
_symmetry_Int_Tables_number 216
_symmetry_space_group_name_Hall 'F -4 2 3'
loop_
_atom_site_label
_atom_site_type_symbol
_atom_site_fract_x
_atom_site_fract_y
_atom_site_fract_z
Ti1 Ti 0.107 0.107 0.107
In1 In 0.000 0.000 0.500
Te1 Te 0.129 0.129 0.871
Te2 Te 0.141 0.141 0.359
# N(E_F) = 0.602 states/eV per atom



Energies, relative to the best one, in kJ/mol of atoms: #one 0.0; #two 2.0.



#one
# Ti2InTe2, optimized geometry, DFT GGA-PBE
data_Ti2InTe2
_chemical_formula_sum 'Ti4 In2 Te4'
_cell_length_a 4.136
_cell_length_b 4.136
_cell_length_c 15.407
_cell_angle_alpha 90.00
_cell_angle_beta 90.00
_cell_angle_gamma 90.00
_symmetry_space_group_name_H-M 'I 4/m m m'
_symmetry_Int_Tables_number 139
_symmetry_space_group_name_Hall '-I 4 2'
loop_
_atom_site_label
_atom_site_type_symbol
_atom_site_fract_x
_atom_site_fract_y
_atom_site_fract_z
Ti1 Ti 0.000 0.500 0.250
In1 In 0.000 0.000 0.000
Te1 Te 0.000 0.000 0.371
# N(E_F) = 1.041 states/eV per atom



#two
# Ti2InTe2, optimized geometry, DFT GGA-PBE
data_Ti2InTe2
_chemical_formula_sum 'Ti4 In2 Te4'
_cell_length_a 7.763
_cell_length_b 7.763
_cell_length_c 3.616
_cell_angle_alpha 90.00
_cell_angle_beta 90.00
_cell_angle_gamma 90.00
_symmetry_space_group_name_H-M 'P 4/m b m'
_symmetry_Int_Tables_number 127
_symmetry_space_group_name_Hall '-P 4 2ab'
loop_
_atom_site_label
_atom_site_type_symbol
_atom_site_fract_x
_atom_site_fract_y
_atom_site_fract_z
Ti1 Ti 0.139 0.361 0.000
In1 In 0.000 0.000 0.000
Te1 Te 0.151 0.651 0.500
# N(E_F) = 1.053 states/eV per atom



Energies, relative to the best one, in kJ/mol of atoms: #one 2.9; #two 0.0.



#one
# TiIn3Te, optimized geometry, DFT GGA-PBE
data_TiIn3Te
_chemical_formula_sum 'Ti1 In3 Te1'
_cell_length_a 5.740
_cell_length_b 5.740
_cell_length_c 5.740
_cell_angle_alpha 90.00
_cell_angle_beta 90.00
_cell_angle_gamma 90.00
_symmetry_space_group_name_H-M 'P m -3 m'
_symmetry_Int_Tables_number 221
_symmetry_space_group_name_Hall '-P 4 2 3'
loop_
_atom_site_label
_atom_site_type_symbol
_atom_site_fract_x
_atom_site_fract_y
_atom_site_fract_z
Ti1 Ti 0.000 0.000 0.000
In1 In 0.000 0.500 0.500
Te1 Te 0.500 0.500 0.500
# N(E_F) = 2.820 states/eV per atom



#two
# TiIn3Te, optimized geometry, DFT GGA-PBE
data_TiIn3Te
_chemical_formula_sum 'Ti1 In3 Te1'
_cell_length_a 5.490
_cell_length_b 5.490
_cell_length_c 5.490
_cell_angle_alpha 90.00
_cell_angle_beta 90.00
_cell_angle_gamma 90.00
_symmetry_space_group_name_H-M 'P m -3 m'
_symmetry_Int_Tables_number 221
_symmetry_space_group_name_Hall '-P 4 2 3'
loop_
_atom_site_label
_atom_site_type_symbol
_atom_site_fract_x
_atom_site_fract_y
_atom_site_fract_z
Ti1 Ti 0.000 0.000 0.000
In1 In 0.000 0.000 0.500
Te1 Te 0.500 0.500 0.500
# N(E_F) = 1.474 states/eV per atom



Energies, relative to the best one, in kJ/mol of atoms: #one 60.0; #two 0.0.



#one
# TlInTe, optimized geometry, DFT GGA-PBE
data_TlInTe
_chemical_formula_sum 'Tl2 In2 Te2'
_cell_length_a 4.043
_cell_length_b 4.043
_cell_length_c 11.875
_cell_angle_alpha 90.00
_cell_angle_beta 90.00
_cell_angle_gamma 90.00
_symmetry_space_group_name_H-M 'I 4 m m'
_symmetry_Int_Tables_number 107
_symmetry_space_group_name_Hall 'I 4 -2'
loop_
_atom_site_label
_atom_site_type_symbol
_atom_site_fract_x
_atom_site_fract_y
_atom_site_fract_z
Tl1 Tl 0.000 0.000 0.000
In1 In 0.000 0.000 0.700
Te1 Te 0.000 0.000 0.324
# N(E_F) = 0.607 states/eV per atom



#two
Below is a relaxed TlInTe crystal, with properties calculated at the GGA-PBE level.

CIF file:
```
data_TlInTe
_chemical_formula_sum 'Tl4 In4 Te4'
_cell_length_a 7.806
_cell_length_b 7.806
_cell_length_c 7.806
_cell_angle_alpha 90.00
_cell_angle_beta 90.00
_cell_angle_gamma 90.00
_symmetry_space_group_name_H-M 'F -4 3 m'
_symmetry_Int_Tables_number 216
_symmetry_space_group_name_Hall 'F -4 2 3'
loop_
_atom_site_label
_atom_site_type_symbol
_atom_site_fract_x
_atom_site_fract_y
_atom_site_fract_z
Tl1 Tl 0.000 0.000 0.000
In1 In 0.000 0.000 0.500
Te1 Te 0.250 0.250 0.750
```



Energies, relative to the best one, in kJ/mol of atoms: #one 0.0; #two 1.5.



#one
# TlInTe, optimized geometry, DFT GGA-PBE
data_TlInTe
_chemical_formula_sum 'Tl1 In1 Te1'
_cell_length_a 4.7329
_cell_length_b 4.7329
_cell_length_c 5.4116
_cell_angle_alpha 90.00
_cell_angle_beta 90.00
_cell_angle_gamma 120.00
_symmetry_space_group_name_H-M 'P 3 m 1'
_symmetry_Int_Tables_number 156
_symmetry_space_group_name_Hall 'P 3 -2"'
loop_
_atom_site_label
_atom_site_type_symbol
_atom_site_fract_x
_atom_site_fract_y
_atom_site_fract_z
Tl1 Tl 0.0000 0.0000 0.0000
In1 In 0.6667 0.3333 0.3693
Te1 Te 0.3333 0.6667 0.6520
# N(E_F) = 0.059 states/eV per atom



#two
# TlInTe, optimized geometry, DFT GGA-PBE
data_TlInTe
_chemical_formula_sum 'Tl1 In1 Te1'
_cell_length_a 5.7306
_cell_length_b 5.7306
_cell_length_c 3.2331
_cell_angle_alpha 90.00
_cell_angle_beta 90.00
_cell_angle_gamma 120.00
_symmetry_space_group_name_H-M 'P 3 m 1'
_symmetry_Int_Tables_number 156
_symmetry_space_group_name_Hall 'P 3 -2"'
loop_
_atom_site_label
_atom_site_type_symbol
_atom_site_fract_x
_atom_site_fract_y
_atom_site_fract_z
Tl1 Tl 0.0000 0.0000 0.0000
In1 In 0.3333 0.6667 0.5017
Te1 Te 0.6667 0.3333 0.4920
# N(E_F) = 0.130 states/eV per atom



Energies, relative to the best one, in kJ/mol of atoms: #one 0.0; #two 12.0.



#one
Below is a relaxed TlInTe3 crystal, with properties calculated at the GGA-PBE level.

CIF file:
```
data_TlInTe3
_chemical_formula_sum 'Tl4 In4 Te12'
_cell_length_a 9.512
_cell_length_b 8.859
_cell_length_c 11.989
_cell_angle_alpha 90.00
_cell_angle_beta 124.82
_cell_angle_gamma 90.00
_symmetry_space_group_name_H-M 'P 1 21/c 1'
_symmetry_Int_Tables_number 14
_symmetry_space_group_name_Hall '-P 2ybc'
loop_
_atom_site_label
_atom_site_type_symbol
_atom_site_fract_x
_atom_site_fract_y
_atom_site_fract_z
Tl1 Tl 0.185 0.204 0.189
In1 In 0.361 0.653 0.368
Te1 Te 0.187 0.596 0.884
Te2 Te 0.275 0.110 0.958
Te3 Te 0.413 0.550 0.165
```



#two
# TlInTe3, optimized geometry, DFT GGA-PBE
data_TlInTe3
_chemical_formula_sum 'Tl1 In1 Te3'
_cell_length_a 5.807
_cell_length_b 5.807
_cell_length_c 5.807
_cell_angle_alpha 90.00
_cell_angle_beta 90.00
_cell_angle_gamma 90.00
_symmetry_space_group_name_H-M 'P m -3 m'
_symmetry_Int_Tables_number 221
_symmetry_space_group_name_Hall '-P 4 2 3'
loop_
_atom_site_label
_atom_site_type_symbol
_atom_site_fract_x
_atom_site_fract_y
_atom_site_fract_z
Tl1 Tl 0.000 0.000 0.000
In1 In 0.500 0.500 0.500
Te1 Te 0.000 0.000 0.500
# N(E_F) = 0.937 states/eV per atom



Energies, relative to the best one, in kJ/mol of atoms: #one 0.0; #two 55.2.



#one
# V2InTe, optimized geometry, DFT GGA-PBE
data_V2InTe
_chemical_formula_sum 'V8 In4 Te4'
_cell_length_a 7.481
_cell_length_b 7.481
_cell_length_c 6.323
_cell_angle_alpha 90.00
_cell_angle_beta 90.00
_cell_angle_gamma 90.00
_symmetry_space_group_name_H-M 'I -4 2 d'
_symmetry_Int_Tables_number 122
_symmetry_space_group_name_Hall 'I -4 2bw'
loop_
_atom_site_label
_atom_site_type_symbol
_atom_site_fract_x
_atom_site_fract_y
_atom_site_fract_z
V1 V 0.227 0.250 0.125
In1 In 0.000 0.000 0.500
Te1 Te 0.000 0.000 0.000
# N(E_F) = 1.531 states/eV per atom



#two
# V2InTe, optimized geometry, DFT GGA-PBE
data_V2InTe
_chemical_formula_sum 'V8 In4 Te4'
_cell_length_a 6.589
_cell_length_b 6.589
_cell_length_c 6.589
_cell_angle_alpha 90.00
_cell_angle_beta 90.00
_cell_angle_gamma 90.00
_symmetry_space_group_name_H-M 'F m -3 m'
_symmetry_Int_Tables_number 225
_symmetry_space_group_name_Hall '-F 4 2 3'
loop_
_atom_site_label
_atom_site_type_symbol
_atom_site_fract_x
_atom_site_fract_y
_atom_site_fract_z
V1 V 0.250 0.250 0.250
In1 In 0.000 0.000 0.000
Te1 Te 0.000 0.000 0.500
# N(E_F) = 1.107 states/eV per atom



Energies, relative to the best one, in kJ/mol of atoms: #one 19.6; #two 0.0.



#one
# VIn3Te, optimized geometry, DFT GGA-PBE
data_VIn3Te
_chemical_formula_sum 'V1 In3 Te1'
_cell_length_a 5.397
_cell_length_b 5.397
_cell_length_c 5.397
_cell_angle_alpha 90.00
_cell_angle_beta 90.00
_cell_angle_gamma 90.00
_symmetry_space_group_name_H-M 'P m -3 m'
_symmetry_Int_Tables_number 221
_symmetry_space_group_name_Hall '-P 4 2 3'
loop_
_atom_site_label
_atom_site_type_symbol
_atom_site_fract_x
_atom_site_fract_y
_atom_site_fract_z
V1 V 0.000 0.000 0.000
In1 In 0.000 0.000 0.500
Te1 Te 0.500 0.500 0.500
# N(E_F) = 1.319 states/eV per atom



#two
# VIn3Te, optimized geometry, DFT GGA-PBE
data_VIn3Te
_chemical_formula_sum 'V1 In3 Te1'
_cell_length_a 5.824
_cell_length_b 5.824
_cell_length_c 5.824
_cell_angle_alpha 90.00
_cell_angle_beta 90.00
_cell_angle_gamma 90.00
_symmetry_space_group_name_H-M 'P m -3 m'
_symmetry_Int_Tables_number 221
_symmetry_space_group_name_Hall '-P 4 2 3'
loop_
_atom_site_label
_atom_site_type_symbol
_atom_site_fract_x
_atom_site_fract_y
_atom_site_fract_z
V1 V 0.000 0.000 0.000
In1 In 0.000 0.500 0.500
Te1 Te 0.500 0.500 0.500
# N(E_F) = 1.718 states/eV per atom



Energies, relative to the best one, in kJ/mol of atoms: #one 0.0; #two 60.6.